First-principles (PBE-GGA) data for a relaxed MgFe2As crystal, as listed in OQMD via LeMat-Bulk.

Values from the calculation:
- Electronic total energy: -5.59 eV/atom
- Size of the total moment: 1.70 μB/cell

a = 5.8778 Å, b = 5.8778 Å, c = 5.8778 Å
α = 90.00°, β = 90.00°, γ = 90.00°
Space group Pm-3m (No. 221)
Unique sites:
Mg1 0.0000 0.0000 0.0000 x1
Mg2 0.0000 0.0000 0.5000 x3
Fe1 0.2685 0.2685 0.2685 x8
As1 0.0000 0.5000 0.5000 x3
As2 0.5000 0.5000 0.5000 x1

First-principles (PBE-GGA) data for a relaxed Nb2Te2O5 crystal, as listed in OQMD via LeMat-Bulk.

Values from the calculation:
- Electronic total energy: -6.84 eV/atom
- Size of the total moment: 1.71 μB/cell

a = 3.9684 Å, b = 3.9684 Å, c = 9.3750 Å
α = 90.00°, β = 90.00°, γ = 90.00°
Space group P4/mmm (No. 123)
Unique sites:
Nb1 0.0000 0.0000 0.2170 x2
Te1 0.5000 0.5000 0.0000 x1
Te2 0.5000 0.5000 0.5000 x1
O1 0.0000 0.0000 0.0000 x1
O2 0.0000 0.5000 0.2250 x4